[1]
Ba2Zn3Pt | GGA-PBE | optimized geometry

a = 6.525 Å, b = 6.525 Å, c = 9.103 Å
α = 111.16°, β = 111.16°, γ = 89.60°
Fractional coordinates of all 12 atoms:
Ba1 0.750 0.250 0.500
Ba2 0.743 0.257 0.000
Ba3 0.250 0.750 0.500
Ba4 0.257 0.743 0.000
Zn1 0.832 0.832 0.171
Zn2 0.662 0.662 0.829
Zn3 0.168 0.168 0.829
Zn4 0.338 0.338 0.171
Zn5 0.171 0.171 0.342
Zn6 0.829 0.829 0.658
Pt1 0.664 0.664 0.329
Pt2 0.336 0.336 0.671

## Properties
uncorrected energy	-2.700	eV/atom
volume	333.7	Å³ per cell
energy of formation	-415	meV per atom
M_tot	0.0	Bohr magnetons per cell

[2]
Sm4Ga12Ge | GGA-PBE | optimized geometry

a = 7.677 Å, b = 7.677 Å, c = 7.677 Å
α = 109.47°, β = 109.47°, γ = 109.47°
Fractional coordinates of all 17 atoms:
Sm1 0.000 0.000 0.500
Sm2 0.500 0.000 0.000
Sm3 0.500 0.500 0.500
Sm4 0.000 0.500 0.000
Ga1 0.000 0.309 0.309
Ga2 0.000 0.691 0.691
Ga3 0.691 0.691 0.000
Ga4 0.309 0.309 0.000
Ga5 0.309 0.000 0.309
Ga6 0.691 0.000 0.691
Ga7 0.500 0.250 0.750
Ga8 0.500 0.750 0.250
Ga9 0.750 0.250 0.500
Ga10 0.250 0.750 0.500
Ga11 0.750 0.500 0.250
Ga12 0.250 0.500 0.750
Ge1 0.000 0.000 0.000

## Properties
uncorrected energy	-4.005	eV/atom
volume	348.3	Å³ per cell
energy of formation	-486	meV per atom
M_tot	0.0	Bohr magnetons per cell

[3]
ScFeAg3 | GGA-PBE | optimized geometry

a = 4.805 Å, b = 4.805 Å, c = 4.805 Å
α = 90.00°, β = 90.00°, γ = 90.00°
Fractional coordinates of all 5 atoms:
Sc1 0.500 0.500 0.500
Fe1 0.000 0.000 0.000
Ag1 0.000 0.500 0.000
Ag2 0.000 0.000 0.500
Ag3 0.500 0.000 0.000

## Properties
uncorrected energy	-3.979	eV/atom
volume	111.0	Å³ per cell
energy of formation	691	meV per atom
energy relative to the lowest polymorph listed for this composition	0	meV/atom
M_tot	3.0	Bohr magnetons per cell

[4]
Zr3OsRu | GGA-PBE | optimized geometry

a = 4.975 Å, b = 4.975 Å, c = 4.975 Å
α = 90.00°, β = 90.00°, γ = 90.00°
Fractional coordinates of all 5 atoms:
Ru1 0.500 0.500 0.500
Os1 0.000 0.000 0.000
Zr1 0.000 0.500 0.000
Zr2 0.000 0.000 0.500
Zr3 0.500 0.000 0.000

## Properties
uncorrected energy	-8.466	eV/atom
volume	123.2	Å³ per cell
energy of formation	764	meV per atom
energy relative to the lowest polymorph listed for this composition	0	meV/atom
M_tot	0.0	Bohr magnetons per cell

[5]
TlPtCl5 | GGA-PBE | optimized geometry

a = 7.731 Å, b = 7.731 Å, c = 9.909 Å
α = 83.28°, β = 120.85°, γ = 119.52°
Fractional coordinates of all 14 atoms:
Tl1 0.797 0.547 0.250
Tl2 0.203 0.453 0.750
Pt1 0.000 0.000 0.000
Pt2 0.500 0.000 0.500
Cl1 0.770 0.925 0.111
Cl2 0.185 0.923 0.526
Cl3 0.686 0.340 0.611
Cl4 0.361 0.111 0.250
Cl5 0.897 0.659 0.974
Cl6 0.103 0.341 0.026
Cl7 0.639 0.889 0.750
Cl8 0.314 0.660 0.389
Cl9 0.815 0.077 0.474
Cl10 0.230 0.075 0.889

## Properties
uncorrected energy	-3.082	eV/atom
volume	435.1	Å³ per cell
E_form (uncorrected)	-562.4	meV per atom
M_tot	0.0	Bohr magnetons per cell

[6]
MoSI | GGA-PBE | optimized geometry

a = 4.888 Å, b = 7.178 Å, c = 9.098 Å
α = 89.58°, β = 90.00°, γ = 90.00°
Fractional coordinates of all 12 atoms:
S1 0.299 0.383 0.107
S2 0.799 0.117 0.893
S3 0.701 0.617 0.893
S4 0.201 0.883 0.107
Mo1 0.323 0.120 0.932
Mo2 0.823 0.380 0.068
Mo3 0.677 0.880 0.068
Mo4 0.177 0.620 0.932
I1 0.256 0.871 0.687
I2 0.756 0.629 0.313
I3 0.744 0.129 0.313
I4 0.244 0.371 0.687

## Properties
uncorrected energy	-5.806	eV/atom
volume	319.2	Å³ per cell
E_form (uncorrected)	-302.8	meV per atom
M_tot	0.0	Bohr magnetons per cell

[7]
SrPmSm4 | GGA-PBE | optimized geometry

a = 6.859 Å, b = 6.859 Å, c = 6.859 Å
α = 60.00°, β = 60.00°, γ = 60.00°
Fractional coordinates of all 6 atoms:
Sr1 0.250 0.250 0.250
Sm1 0.628 0.628 0.116
Sm2 0.628 0.116 0.628
Sm3 0.628 0.628 0.628
Sm4 0.116 0.628 0.628
Pm1 0.000 0.000 0.000

## Properties
uncorrected energy	-3.983	eV/atom
volume	228.2	Å³ per cell
energy of formation	235	meV per atom
M_tot	0.0	Bohr magnetons per cell

[8]
Y4HgOs | GGA-PBE | optimized geometry

a = 6.240 Å, b = 7.693 Å, c = 7.693 Å
α = 111.87°, β = 98.66°, γ = 98.66°
Fractional coordinates of all 12 atoms:
Y1 0.905 0.639 0.794
Y2 0.042 0.934 0.275
Y3 0.595 0.206 0.361
Y4 0.458 0.725 0.066
Y5 0.542 0.275 0.934
Y6 0.405 0.794 0.639
Y7 0.958 0.066 0.725
Y8 0.095 0.361 0.206
Hg1 0.750 0.628 0.372
Hg2 0.250 0.372 0.628
Os1 0.250 0.999 0.001
Os2 0.750 0.001 0.999

## Properties
uncorrected energy	-6.566	eV/atom
volume	330.1	Å³ per cell
energy of formation	-335	meV per atom
energy relative to the lowest polymorph listed for this composition	0	meV/atom
M_tot	0.0	Bohr magnetons per cell

[9]
BaAl3Ag | GGA-PBE | optimized geometry

a = 6.078 Å, b = 6.719 Å, c = 6.719 Å
α = 120.00°, β = 90.00°, γ = 90.00°
Fractional coordinates of all 10 atoms:
Ba1 0.750 0.667 0.333
Ba2 0.250 0.333 0.667
Al1 0.750 0.613 0.806
Al2 0.250 0.806 0.613
Al3 0.250 0.387 0.194
Al4 0.750 0.194 0.387
Al5 0.250 0.806 0.194
Al6 0.750 0.194 0.806
Ag1 0.000 0.000 0.000
Ag2 0.500 0.000 0.000

## Properties
uncorrected energy	-3.251	eV/atom
volume	237.6	Å³ per cell
energy of formation	-51	meV per atom
M_tot	0.0	Bohr magnetons per cell

[10]
HoTaCuOs | GGA-PBE | optimized geometry

a = 4.639 Å, b = 4.639 Å, c = 4.639 Å
α = 60.00°, β = 60.00°, γ = 60.00°
Fractional coordinates of all 4 atoms:
Os1 0.250 0.250 0.250
Ho1 0.000 0.000 0.000
Cu1 0.750 0.750 0.750
Ta1 0.500 0.500 0.500

## Properties
uncorrected energy	-8.003	eV/atom
volume	70.6	Å³ per cell
energy of formation	-64	meV per atom
M_tot	0.0	Bohr magnetons per cell